# 1
## Ca2HfGe2 (GGA-PBE)

Data for Ca2HfGe2 after structural relaxation.

```
data_Ca2HfGe2
_chemical_formula_sum 'Ca4 Hf2 Ge4'
_cell_length_a 8.056
_cell_length_b 8.056
_cell_length_c 3.649
_cell_angle_alpha 90.00
_cell_angle_beta 90.00
_cell_angle_gamma 90.00
_symmetry_space_group_name_H-M 'P 4/m b m'
_symmetry_Int_Tables_number 127
_symmetry_space_group_name_Hall '-P 4 2ab'
loop_
_atom_site_label
_atom_site_fract_x
_atom_site_fract_y
_atom_site_fract_z
Ca1 0.137 0.363 0.000
Hf1 0.000 0.000 0.500
Ge1 0.171 0.671 0.500
```

Results
Total magnetic moment   0.00 μB per formula unit
Total energy   -24.64 eV per formula unit



# 2
## CaHf2MgGe (GGA-PBE)

Data for CaHf2MgGe after structural relaxation.

```
data_CaHf2MgGe
_chemical_formula_sum 'Ca1 Hf2 Mg1 Ge1'
_cell_length_a 5.179
_cell_length_b 5.179
_cell_length_c 4.932
_cell_angle_alpha 90.00
_cell_angle_beta 90.00
_cell_angle_gamma 90.00
_symmetry_space_group_name_H-M 'P 4/m m m'
_symmetry_Int_Tables_number 123
_symmetry_space_group_name_Hall '-P 4 2'
loop_
_atom_site_label
_atom_site_fract_x
_atom_site_fract_y
_atom_site_fract_z
Ca1 0.000 0.000 0.000
Hf1 0.000 0.500 0.500
Mg1 0.500 0.500 0.500
Ge1 0.500 0.500 0.000
```

Results
Total magnetic moment   0.96 μB per formula unit
Total energy   -23.33 eV per formula unit



# 3
## CaHfGeO5 (GGA-PBE)

Data for CaHfGeO5 after structural relaxation.

```
data_CaHfGeO5
_chemical_formula_sum 'Ca4 Hf4 Ge4 O20'
_cell_length_a 6.930
_cell_length_b 9.164
_cell_length_c 7.515
_cell_angle_alpha 90.00
_cell_angle_beta 113.77
_cell_angle_gamma 90.00
_symmetry_space_group_name_H-M 'C 1 2/c 1'
_symmetry_Int_Tables_number 15
_symmetry_space_group_name_Hall '-C 2yc'
loop_
_atom_site_label
_atom_site_fract_x
_atom_site_fract_y
_atom_site_fract_z
Ca1 0.000 0.173 0.250
Hf1 0.000 0.500 0.000
Ge1 0.000 0.178 0.750
O1 0.000 0.419 0.250
O2 0.107 0.289 0.618
O3 0.182 0.055 0.915
```

Results
Total magnetic moment   0.00 μB per formula unit
Formation energy from raw total energies   -270 kJ per mole of atoms



# 4
## CaHfGe2O8 (GGA-PBE)

Data for CaHfGe2O8 after structural relaxation.

```
data_CaHfGe2O8
_chemical_formula_sum 'Ca2 Hf2 Ge4 O16'
_cell_length_a 5.014
_cell_length_b 5.014
_cell_length_c 10.949
_cell_angle_alpha 90.00
_cell_angle_beta 90.00
_cell_angle_gamma 90.00
_symmetry_space_group_name_H-M 'I -4'
_symmetry_Int_Tables_number 82
_symmetry_space_group_name_Hall 'I -4'
loop_
_atom_site_label
_atom_site_fract_x
_atom_site_fract_y
_atom_site_fract_z
Ca1 0.000 0.000 0.000
Hf1 0.000 0.500 0.250
Ge1 0.000 0.000 0.500
Ge2 0.000 0.500 0.750
O1 0.144 0.261 0.410
O2 0.176 0.763 0.825
```

Results
Total magnetic moment   2.04 μB per formula unit
Formation energy from raw total energies   -200 kJ per mole of atoms



# 5
## Ca2HfGeO6 (GGA-PBE)

Data for Ca2HfGeO6 after structural relaxation.

```
data_Ca2HfGeO6
_chemical_formula_sum 'Ca2 Hf1 Ge1 O6'
_cell_length_a 5.370
_cell_length_b 5.370
_cell_length_c 4.545
_cell_angle_alpha 90.00
_cell_angle_beta 90.00
_cell_angle_gamma 90.00
_symmetry_space_group_name_H-M 'P 4 m m'
_symmetry_Int_Tables_number 99
_symmetry_space_group_name_Hall 'P 4 -2'
loop_
_atom_site_label
_atom_site_fract_x
_atom_site_fract_y
_atom_site_fract_z
Ca1 0.000 0.500 0.000
Hf1 0.000 0.000 0.569
Ge1 0.500 0.500 0.566
O1 0.000 0.000 0.138
O2 0.261 0.261 0.675
O3 0.500 0.500 0.178
```

Results
Total magnetic moment   0.00 μB per formula unit
Formation energy from raw total energies   -265 kJ per mole of atoms



# 6
## Ca2HfGeP (GGA-PBE)

Data for Ca2HfGeP after structural relaxation.

```
data_Ca2HfGeP
_chemical_formula_sum 'Ca2 Hf1 Ge1 P1'
_cell_length_a 5.278
_cell_length_b 5.278
_cell_length_c 5.036
_cell_angle_alpha 90.00
_cell_angle_beta 90.00
_cell_angle_gamma 90.00
_symmetry_space_group_name_H-M 'P 4/m m m'
_symmetry_Int_Tables_number 123
_symmetry_space_group_name_Hall '-P 4 2'
loop_
_atom_site_label
_atom_site_fract_x
_atom_site_fract_y
_atom_site_fract_z
Ca1 0.000 0.500 0.000
Hf1 0.000 0.000 0.500
Ge1 0.500 0.500 0.500
P1 0.500 0.500 0.000
```

Results
Total magnetic moment   1.59 μB per formula unit
Total energy   -22.30 eV per formula unit



# 7
## CaHfGeRu2 (GGA-PBE)

Data for CaHfGeRu2 after structural relaxation.

```
data_CaHfGeRu2
_chemical_formula_sum 'Ca1 Hf1 Ge1 Ru2'
_cell_length_a 4.834
_cell_length_b 4.834
_cell_length_c 5.470
_cell_angle_alpha 90.00
_cell_angle_beta 90.00
_cell_angle_gamma 90.00
_symmetry_space_group_name_H-M 'P 4/m m m'
_symmetry_Int_Tables_number 123
_symmetry_space_group_name_Hall '-P 4 2'
loop_
_atom_site_label
_atom_site_fract_x
_atom_site_fract_y
_atom_site_fract_z
Ca1 0.000 0.000 0.000
Hf1 0.000 0.000 0.500
Ge1 0.500 0.500 0.000
Ru1 0.000 0.500 0.500
```

Results
Total magnetic moment   0.00 μB per formula unit
Total energy   -29.13 eV per formula unit



# 8
## CaHfScGe2 (GGA-PBE)

Data for CaHfScGe2 after structural relaxation.

```
data_CaHfScGe2
_chemical_formula_sum 'Ca1 Hf1 Sc1 Ge2'
_cell_length_a 5.227
_cell_length_b 5.227
_cell_length_c 5.046
_cell_angle_alpha 90.00
_cell_angle_beta 90.00
_cell_angle_gamma 90.00
_symmetry_space_group_name_H-M 'P 4/m m m'
_symmetry_Int_Tables_number 123
_symmetry_space_group_name_Hall '-P 4 2'
loop_
_atom_site_label
_atom_site_fract_x
_atom_site_fract_y
_atom_site_fract_z
Ca1 0.000 0.000 0.000
Hf1 0.500 0.500 0.500
Sc1 0.500 0.500 0.000
Ge1 0.000 0.500 0.500
```

Results
Total magnetic moment   0.00 μB per formula unit
Total energy   -26.52 eV per formula unit



# 9
## CaHfGe2W (GGA-PBE)

Data for CaHfGe2W after structural relaxation.

```
data_CaHfGe2W
_chemical_formula_sum 'Ca1 Hf1 Ge2 W1'
_cell_length_a 4.870
_cell_length_b 4.870
_cell_length_c 4.967
_cell_angle_alpha 90.00
_cell_angle_beta 90.00
_cell_angle_gamma 90.00
_symmetry_space_group_name_H-M 'P 4/m m m'
_symmetry_Int_Tables_number 123
_symmetry_space_group_name_Hall '-P 4 2'
loop_
_atom_site_label
_atom_site_fract_x
_atom_site_fract_y
_atom_site_fract_z
Ca1 0.000 0.000 0.000
Hf1 0.000 0.000 0.500
Ge1 0.000 0.500 0.000
W1 0.500 0.500 0.500
```

Results
Total magnetic moment   0.00 μB per formula unit
Total energy   -23.07 eV per formula unit



# 10
## Ca2Hg3Ge2 (GGA-PBE)

Data for Ca2Hg3Ge2 after structural relaxation.

```
data_Ca2Hg3Ge2
_chemical_formula_sum 'Ca4 Hg6 Ge4'
_cell_length_a 10.930
_cell_length_b 4.596
_cell_length_c 6.805
_cell_angle_alpha 90.00
_cell_angle_beta 93.75
_cell_angle_gamma 90.00
_symmetry_space_group_name_H-M 'C 1 2/m 1'
_symmetry_Int_Tables_number 12
_symmetry_space_group_name_Hall '-C 2y'
loop_
_atom_site_label
_atom_site_fract_x
_atom_site_fract_y
_atom_site_fract_z
Ca1 0.127 0.000 0.323
Hg1 0.000 0.500 0.000
Hg2 0.194 0.000 0.849
Ge1 0.087 0.500 0.630
```

Results
Total magnetic moment   0.00 μB per formula unit
Total energy   -16.63 eV per formula unit



# 11
## CaHgGe (GGA-PBE)

Data for CaHgGe after structural relaxation.

```
data_CaHgGe
_chemical_formula_sum 'Ca4 Hg4 Ge4'
_cell_length_a 4.428
_cell_length_b 17.071
_cell_length_c 3.989
_cell_angle_alpha 90.00
_cell_angle_beta 90.00
_cell_angle_gamma 90.00
_symmetry_space_group_name_H-M 'C m c m'
_symmetry_Int_Tables_number 63
_symmetry_space_group_name_Hall '-C 2c 2'
loop_
_atom_site_label
_atom_site_fract_x
_atom_site_fract_y
_atom_site_fract_z
Ca1 0.000 0.097 0.250
Hg1 0.000 0.284 0.250
Ge1 0.000 0.453 0.250
```

Results
Total magnetic moment   0.00 μB per formula unit
Total energy   -8.34 eV per formula unit



# 12
## Ca4HgGe3 (GGA-PBE)

Data for Ca4HgGe3 after structural relaxation.

```
data_Ca4HgGe3
_chemical_formula_sum 'Ca4 Hg1 Ge3'
_cell_length_a 4.148
_cell_length_b 4.530
_cell_length_c 11.204
_cell_angle_alpha 90.00
_cell_angle_beta 90.00
_cell_angle_gamma 90.00
_symmetry_space_group_name_H-M 'P m m 2'
_symmetry_Int_Tables_number 25
_symmetry_space_group_name_Hall 'P 2 -2'
loop_
_atom_site_label
_atom_site_fract_x
_atom_site_fract_y
_atom_site_fract_z
Ca1 0.000 0.000 0.000
Ca2 0.000 0.500 0.489
Ca3 0.500 0.000 0.717
Ca4 0.500 0.500 0.220
Hg1 0.000 0.500 0.774
Ge1 0.000 0.000 0.285
Ge2 0.500 0.000 0.429
Ge3 0.500 0.500 0.945
```

Results
Total magnetic moment   0.00 μB per formula unit
Total energy   -27.00 eV per formula unit